1.
Computed, not measured: MgCoHg after structural relaxation at the PBE level of DFT.

Lattice parameters (Å, degrees): 4.5436 4.5436 2.9442 90.00 90.00 120.00
Last column: nearest neighbours and their distance in Å.
Fractional positions:
1 Co 0.0000 0.0000 0.1660  3 Hg 2.62
2 Hg 0.6667 0.3333 0.1685  3 Co 2.62
3 Mg 0.3333 0.6667 0.6655  2 Mg 2.94, 6 Hg 3.00-3.01, 6 Co 3.01

Results
- energy of formation from the pure elements (kJ per mole of atoms) = 22.9
- symmetry = P3m1
- uncorrected energy (eV per cell) = -8.29
- excess energy over the best structure of this formula in the dataset (meV/atom) = 49.1
- DOS(E_F) (states/eV/f.u.) = 4.13

---

2.
Computed, not measured: UInHgPd after structural relaxation at the PBE level of DFT.

Lattice parameters (Å, degrees): 4.9971 4.9971 4.9971 60.00 60.00 60.00
Last column: nearest neighbours and their distance in Å.
Fractional positions:
1 U 0.7500 0.7500 0.7500  4 Hg 3.06, 4 Pd 3.06
2 Hg 0.5000 0.5000 0.5000  4 In 3.06, 4 U 3.06
3 Pd 0.0000 0.0000 0.0000  4 U 3.06, 4 In 3.06
4 In 0.2500 0.2500 0.2500  4 Hg 3.06, 4 Pd 3.06

Results
- energy of formation from the pure elements (kJ per mole of atoms) = -6.1
- symmetry = F-43m
- uncorrected energy (eV per cell) = -19.77
- DOS(E_F) (states/eV/f.u.) = 9.80

---

3.
Computed, not measured: K3In4Au7 after structural relaxation at the PBE level of DFT.

Lattice parameters (Å, degrees): 4.7420 9.1563 8.9703 71.26 74.67 74.99
Last column: nearest neighbours and their distance in Å.
Fractional positions:
1 K 0.3293 0.1756 0.1657  8 Au 3.36-3.50, 5 In 3.44-3.63
2 K 0.6707 0.8244 0.8343  8 Au 3.36-3.50, 5 In 3.44-3.63
3 K 0.0000 0.5000 0.5000  10 Au 3.32-3.70, 2 In 3.48
4 In 0.6829 0.4693 0.1650  5 Au 2.85-2.89
5 In 0.3171 0.5307 0.8350  5 Au 2.85-2.89
6 In 0.8696 0.9070 0.3538  6 Au 2.88-2.98
7 In 0.1304 0.0930 0.6462  6 Au 2.88-2.98
8 Au 0.3186 0.7989 0.5639  1 Au 2.83, 4 In 2.85-2.98
9 Au 0.5063 0.2347 0.7526  3 Au 2.83-2.94, 3 In 2.89-2.94
10 Au 0.8827 0.3407 0.8939  3 In 2.87, 3 Au 2.90-2.94
11 Au 0.6814 0.2011 0.4361  1 Au 2.83, 4 In 2.85-2.98
12 Au 0.1173 0.6593 0.1061  3 In 2.87, 3 Au 2.90-2.94
13 Au 0.0000 0.0000 0.0000  2 Au 2.90, 2 In 2.95
14 Au 0.4937 0.7653 0.2474  3 Au 2.83-2.94, 3 In 2.89-2.94

Results
- energy of formation from the pure elements (kJ per mole of atoms) = -27.1
- symmetry = C2/m
- uncorrected energy (eV per cell) = -41.12
- DOS(E_F) (states/eV/f.u.) = 3.67

---

4.
Computed, not measured: Na2Ga6Pt after structural relaxation at the PBE level of DFT.

Lattice parameters (Å, degrees): 5.9922 5.7811 5.7811 59.68 89.77 89.77
Last column: nearest neighbours and their distance in Å.
Fractional positions:
1 Na 0.8752 0.6664 0.6664  9 Ga 3.12-3.16, 3 Pt 3.41-3.43
2 Na 0.1248 0.3336 0.3336  9 Ga 3.12-3.16, 3 Pt 3.41-3.43
3 Ga 0.3272 0.3456 0.8270  1 Pt 2.61, 4 Ga 2.69-2.78
4 Ga 0.3282 0.8268 0.8268  1 Pt 2.62, 4 Ga 2.70-2.78
5 Ga 0.3272 0.8270 0.3456  1 Pt 2.61, 4 Ga 2.69-2.78
6 Ga 0.6728 0.6544 0.1730  1 Pt 2.61, 4 Ga 2.69-2.78
7 Ga 0.6718 0.1732 0.1732  1 Pt 2.62, 4 Ga 2.70-2.78
8 Ga 0.6728 0.1730 0.6544  1 Pt 2.61, 4 Ga 2.69-2.78
9 Pt 0.0000 0.0000 0.0000  6 Ga 2.61-2.62

Results
- energy of formation from the pure elements (kJ per mole of atoms) = -26.4
- symmetry = C2/m
- uncorrected energy (eV per cell) = -29.30
- excess energy over the best structure of this formula in the dataset (meV/atom) = 0.0
- DOS(E_F) (states/eV/f.u.) = 3.34

---

5.
Computed, not measured: LaSm6Dy after structural relaxation at the PBE level of DFT.

Lattice parameters (Å, degrees): 5.9022 5.9022 9.1109 78.77 78.77 74.49
Last column: nearest neighbours and their distance in Å.
Fractional positions:
1 La 0.0000 0.0000 0.0000  6 Sm 3.40-3.56
2 Sm 0.4846 0.9581 0.6977  4 Sm 3.35-3.75, 2 Dy 3.37-3.50, 1 La 3.56
3 Sm 0.9581 0.4846 0.6977  4 Sm 3.35-3.75, 2 Dy 3.37-3.50, 1 La 3.56
4 Sm 0.0419 0.5154 0.3023  4 Sm 3.35-3.75, 2 Dy 3.37-3.50, 1 La 3.56
5 Sm 0.5154 0.0419 0.3023  4 Sm 3.35-3.75, 2 Dy 3.37-3.50, 1 La 3.56
6 Sm 0.6273 0.6273 0.0762  3 Sm 3.05-3.35, 1 La 3.40
7 Sm 0.3727 0.3727 0.9238  3 Sm 3.05-3.35, 1 La 3.40
8 Dy 0.5000 0.5000 0.5000  10 Sm 3.37-3.75

Results
- energy of formation from the pure elements (kJ per mole of atoms) = 35.4
- symmetry = C2/m
- uncorrected energy (eV per cell) = -34.91
- excess energy over the best structure of this formula in the dataset (meV/atom) = 344.9
- DOS(E_F) (states/eV/f.u.) = 14.51

---

6.
Computed, not measured: LiNbNiOs after structural relaxation at the PBE level of DFT.

Lattice parameters (Å, degrees): 4.3005 4.3005 4.3005 60.00 60.00 60.00
Last column: nearest neighbours and their distance in Å.
Fractional positions:
1 Ni 0.2500 0.2500 0.2500  4 Nb 2.63, 4 Li 2.63
2 Nb 0.5000 0.5000 0.5000  4 Ni 2.63, 4 Os 2.63
3 Os 0.7500 0.7500 0.7500  4 Li 2.63, 4 Nb 2.63
4 Li 0.0000 0.0000 0.0000  4 Os 2.63, 4 Ni 2.63

Results
- energy of formation from the pure elements (kJ per mole of atoms) = -4.1
- symmetry = F-43m
- uncorrected energy (eV per cell) = -29.16
- DOS(E_F) (states/eV/f.u.) = 1.18

---

7.
Computed, not measured: Mn2NbRh5 after structural relaxation at the PBE level of DFT.

Lattice parameters (Å, degrees): 3.9760 3.9760 7.8394 104.69 104.69 90.00
Last column: nearest neighbours and their distance in Å.
Fractional positions:
1 Mn 0.7488 0.7488 0.4977  8 Rh 2.64-2.66, 4 Mn 2.81
2 Mn 0.2512 0.2512 0.5023  8 Rh 2.64-2.66, 4 Mn 2.81
3 Nb 0.0000 0.0000 0.0000  12 Rh 2.76-2.81
4 Rh 0.5000 0.5000 0.0000  8 Rh 2.76, 4 Nb 2.81
5 Rh 0.8694 0.3694 0.7388  4 Mn 2.64-2.66, 6 Rh 2.76-2.81, 2 Nb 2.76
6 Rh 0.3694 0.8694 0.7388  4 Mn 2.64-2.66, 6 Rh 2.76-2.81, 2 Nb 2.76
7 Rh 0.1306 0.6306 0.2612  4 Mn 2.64-2.66, 6 Rh 2.76-2.81, 2 Nb 2.76
8 Rh 0.6306 0.1306 0.2612  4 Mn 2.64-2.66, 2 Nb 2.76, 6 Rh 2.76-2.81

Results
- energy of formation from the pure elements (kJ per mole of atoms) = -27.7
- symmetry = I4/mmm
- uncorrected energy (eV per cell) = -67.47
- DOS(E_F) (states/eV/f.u.) = 8.63

---

8.
Computed, not measured: Pr2Cu2SnPd5 after structural relaxation at the PBE level of DFT.

Lattice parameters (Å, degrees): 3.9048 9.7494 9.7494 90.00 90.00 90.00
Last column: nearest neighbours and their distance in Å.
Fractional positions:
1 Pr 0.0000 0.6763 0.1763  3 Cu 2.82-2.93, 2 Pd 3.12
2 Pr 0.0000 0.3237 0.8237  3 Cu 2.82-2.93, 2 Pd 3.12
3 Pr 0.0000 0.1763 0.3237  3 Cu 2.82-2.93, 2 Pd 3.12
4 Pr 0.0000 0.8237 0.6763  3 Cu 2.82-2.93, 2 Pd 3.12
5 Cu 0.0000 0.1192 0.6192  6 Pd 2.55-2.62, 1 Pr 2.82
6 Cu 0.0000 0.8808 0.3808  6 Pd 2.55-2.62, 1 Pr 2.82
7 Cu 0.0000 0.6192 0.8808  6 Pd 2.55-2.62, 1 Pr 2.82
8 Cu 0.0000 0.3808 0.1192  6 Pd 2.55-2.62, 1 Pr 2.82
9 Sn 0.0000 0.0000 0.0000  8 Pd 2.89
10 Sn 0.0000 0.5000 0.5000  8 Pd 2.89
11 Pd 0.5000 0.2090 0.0661  2 Cu 2.62, 2 Sn 2.89, 1 Pd 2.91
12 Pd 0.5000 0.7910 0.9339  2 Cu 2.62, 2 Sn 2.89, 1 Pd 2.91
13 Pd 0.5000 0.0661 0.7910  2 Cu 2.62, 2 Sn 2.89, 1 Pd 2.91
14 Pd 0.5000 0.7090 0.4339  2 Cu 2.62, 2 Sn 2.89, 1 Pd 2.91
15 Pd 0.5000 0.9339 0.2090  2 Cu 2.62, 2 Sn 2.89, 1 Pd 2.91
16 Pd 0.5000 0.2910 0.5661  2 Cu 2.62, 2 Sn 2.89, 1 Pd 2.91
17 Pd 0.5000 0.5661 0.7090  2 Cu 2.62, 2 Sn 2.89, 1 Pd 2.91
18 Pd 0.5000 0.4339 0.2910  2 Cu 2.62, 2 Sn 2.89, 1 Pd 2.91
19 Pd 0.5000 0.5000 0.0000  4 Cu 2.55
20 Pd 0.5000 0.0000 0.5000  4 Cu 2.55

Results
- energy of formation from the pure elements (kJ per mole of atoms) = -61.6
- symmetry = P4/mbm
- uncorrected energy (eV per cell) = -108.21
- DOS(E_F) (states/eV/f.u.) = 3.31

---

9.
Computed, not measured: Ti2ZnSn2 after structural relaxation at the PBE level of DFT.

Lattice parameters (Å, degrees): 6.9336 6.9336 4.1248 90.00 90.00 90.00
Last column: nearest neighbours and their distance in Å.
Fractional positions:
1 Zn 0.0000 0.0000 0.0000  4 Ti 2.67
2 Zn 0.5000 0.5000 0.0000  4 Ti 2.67
3 Sn 0.1643 0.6643 0.5000  6 Ti 2.81-2.96
4 Sn 0.6643 0.8357 0.5000  6 Ti 2.81-2.96
5 Sn 0.8357 0.3357 0.5000  6 Ti 2.81-2.96
6 Sn 0.3357 0.1643 0.5000  6 Ti 2.81-2.96
7 Ti 0.3585 0.8585 0.0000  2 Zn 2.67, 1 Ti 2.77, 6 Sn 2.81-2.96
8 Ti 0.8585 0.6415 0.0000  2 Zn 2.67, 1 Ti 2.77, 6 Sn 2.81-2.96
9 Ti 0.6415 0.1415 0.0000  2 Zn 2.67, 1 Ti 2.77, 6 Sn 2.81-2.96
10 Ti 0.1415 0.3585 0.0000  2 Zn 2.67, 1 Ti 2.77, 6 Sn 2.81-2.96

Results
- energy of formation from the pure elements (kJ per mole of atoms) = -13.9
- symmetry = P4/mbm
- uncorrected energy (eV per cell) = -51.58
- excess energy over the best structure of this formula in the dataset (meV/atom) = 0.0
- DOS(E_F) (states/eV/f.u.) = 3.72

---

10.
Computed, not measured: Ac3Nd5Dy2 after structural relaxation at the PBE level of DFT.

Lattice parameters (Å, degrees): 9.9078 9.9275 11.8340 126.72 126.55 64.95
Last column: nearest neighbours and their distance in Å.
Fractional positions:
1 Ac 0.2710 0.0298 0.9515  5 Nd 3.69-3.80, 4 Dy 3.72-3.88, 3 Ac 3.79-3.82
2 Ac 0.7290 0.9702 0.0485  5 Nd 3.69-3.80, 4 Dy 3.72-3.88, 3 Ac 3.79-3.82
3 Ac 0.6778 0.4267 0.1541  8 Nd 3.72-3.77, 2 Dy 3.76-3.77, 2 Ac 3.79-3.81
4 Ac 0.3222 0.5733 0.8459  8 Nd 3.72-3.77, 2 Dy 3.76-3.77, 2 Ac 3.79-3.81
5 Ac 0.0830 0.8179 0.3523  8 Nd 3.67-3.86, 2 Dy 3.71-3.76, 2 Ac 3.81-3.83
6 Ac 0.9170 0.1821 0.6477  8 Nd 3.67-3.86, 2 Dy 3.71-3.76, 2 Ac 3.81-3.83
7 Nd 0.2261 0.4799 0.0549  5 Ac 3.67-3.79, 2 Dy 3.73, 5 Nd 3.74-3.84
8 Nd 0.7739 0.5201 0.9451  5 Ac 3.67-3.79, 2 Dy 3.73, 5 Nd 3.74-3.84
9 Nd 0.9734 0.7265 0.5518  5 Nd 3.68-3.79, 5 Ac 3.72-3.81, 2 Dy 3.72-3.82
10 Nd 0.4718 0.2220 0.5450  6 Nd 3.66-3.74, 4 Dy 3.69-3.78, 2 Ac 3.72-3.75
11 Nd 0.0266 0.2735 0.4482  5 Nd 3.68-3.79, 5 Ac 3.72-3.81, 2 Dy 3.72-3.82
12 Nd 0.5282 0.7780 0.4550  6 Nd 3.66-3.74, 4 Dy 3.69-3.78, 2 Ac 3.72-3.75
13 Nd 0.8693 0.6308 0.7466  5 Nd 3.66-3.84, 4 Dy 3.67-3.76, 3 Ac 3.69-3.77
14 Nd 0.1307 0.3692 0.2534  5 Nd 3.66-3.84, 4 Dy 3.67-3.76, 3 Ac 3.69-3.77
15 Nd 0.3810 0.1222 0.7482  4 Nd 3.67-3.84, 2 Dy 3.69-3.80, 6 Ac 3.73-3.86
16 Nd 0.6190 0.8778 0.2518  4 Nd 3.67-3.84, 2 Dy 3.69-3.80, 6 Ac 3.73-3.86
17 Dy 0.8244 0.0743 0.8490  7 Nd 3.69-3.78, 4 Ac 3.72-3.77, 1 Dy 3.77
18 Dy 0.1756 0.9257 0.1510  7 Nd 3.69-3.78, 4 Ac 3.72-3.77, 1 Dy 3.77
19 Dy 0.4303 0.6663 0.6448  1 Dy 3.58, 7 Nd 3.67-3.82, 4 Ac 3.71-3.88
20 Dy 0.5697 0.3337 0.3552  1 Dy 3.58, 7 Nd 3.67-3.82, 4 Ac 3.71-3.88

Results
- energy of formation from the pure elements (kJ per mole of atoms) = 4.0
- symmetry = P-1
- uncorrected energy (eV per cell) = -89.92
- DOS(E_F) (states/eV/f.u.) = 16.60

---

11.
Computed, not measured: Pr2Sm5Tm after structural relaxation at the PBE level of DFT.

Lattice parameters (Å, degrees): 5.1216 7.2639 14.5464 90.00 90.00 90.00
Last column: nearest neighbours and their distance in Å.
Fractional positions:
1 Pr 0.5000 0.2488 0.6244  10 Sm 3.62-3.65, 2 Tm 3.62
2 Pr 0.5000 0.7512 0.3756  10 Sm 3.62-3.65, 2 Tm 3.62
3 Pr 0.5000 0.2512 0.1244  10 Sm 3.62-3.65, 2 Tm 3.62
4 Pr 0.5000 0.7488 0.8756  10 Sm 3.62-3.65, 2 Tm 3.62
5 Sm 0.0000 0.0000 0.0000  6 Sm 3.62-3.65, 4 Pr 3.63, 2 Tm 3.63
6 Sm 0.0000 0.5000 0.5000  6 Sm 3.62-3.65, 4 Pr 3.63, 2 Tm 3.63
7 Sm 0.0000 0.4992 0.7509  1 Tm 3.62, 4 Pr 3.62-3.64, 7 Sm 3.62-3.65
8 Sm 0.0000 0.5008 0.2491  1 Tm 3.62, 4 Pr 3.62-3.64, 7 Sm 3.62-3.65
9 Sm 0.0000 0.0008 0.2509  1 Tm 3.62, 4 Pr 3.62-3.64, 7 Sm 3.62-3.65
10 Sm 0.0000 0.9992 0.7491  1 Tm 3.62, 4 Pr 3.62-3.64, 7 Sm 3.62-3.65
11 Sm 0.5000 0.2495 0.8756  4 Pr 3.62-3.65, 6 Sm 3.62-3.64, 2 Tm 3.63
12 Sm 0.5000 0.7505 0.1244  4 Pr 3.62-3.65, 6 Sm 3.62-3.64, 2 Tm 3.63
13 Sm 0.5000 0.2505 0.3756  4 Pr 3.62-3.65, 6 Sm 3.62-3.64, 2 Tm 3.63
14 Sm 0.5000 0.7495 0.6244  4 Pr 3.62-3.65, 6 Sm 3.62-3.64, 2 Tm 3.63
15 Tm 0.0000 0.0000 0.5000  4 Pr 3.62, 8 Sm 3.62-3.63
16 Tm 0.0000 0.5000 0.0000  4 Pr 3.62, 8 Sm 3.62-3.63

Results
- energy of formation from the pure elements (kJ per mole of atoms) = 1.5
- symmetry = Pbam
- uncorrected energy (eV per cell) = -75.00
- DOS(E_F) (states/eV/f.u.) = 11.25